Computed, not measured: a relaxed structure of K2TlAs at the PBE level of DFT.

abc: 7.866 7.918 4.236
angles: 90.00 90.00 90.00
Atoms (fractional coordinates):
K 0.250 0.250 0.000
K 0.250 0.750 0.000
K 0.750 0.250 0.000
K 0.750 0.750 0.000
Tl 0.000 0.000 0.500
Tl 0.500 0.500 0.500
As 0.000 0.500 0.500
As 0.500 0.000 0.500

Output
N(E_F): 0.516 states/eV/atom
Theoretical density: 4.50 g cm⁻³
Relative energy among the computed polymorphs: 256 meV/atom
Total DFT energy (no corrections): -2.375 eV/atom

Computed, not measured: a relaxed structure of KTl2As2 at the PBE level of DFT.

abc: 8.648 8.648 4.298
angles: 90.00 90.00 90.00
Atoms (fractional coordinates):
K 0.000 0.000 0.000
K 0.500 0.500 0.000
Tl 0.162 0.338 0.500
Tl 0.338 0.838 0.500
Tl 0.662 0.162 0.500
Tl 0.838 0.662 0.500
As 0.099 0.599 0.000
As 0.401 0.099 0.000
As 0.599 0.901 0.000
As 0.901 0.401 0.000

Output
N(E_F): 0.462 states/eV/atom
Theoretical density: 6.17 g cm⁻³
Relative energy among the computed polymorphs: 56 meV/atom
Total DFT energy (no corrections): -3.146 eV/atom

Question: Which of these has the lowest relative energy among the computed polymorphs?
Answer: KTl2As2